{
  "formula": "AlCo2Pb",
  "functional": "PBE",
  "state": "optimized geometry",
  "lattice": [[0.000, 3.141, 3.141], [3.141, 0.000, 3.141], [3.141, 3.141, 0.000]],
  "species": ["Al", "Co", "Co", "Pb"],
  "fractional_positions": [[0.000, 0.000, 0.000], [0.250, 0.250, 0.250], [0.500, 0.500, 0.500], [0.750, 0.750, 0.750]],
  "mass_density_g_cm3": 9.43,
  "final_energy_ev_per_atom": -4.890,
  "delta_e_f_ev_per_fu": 2.1,
  "polymorph_energy_mev_per_atom": 562.2
}

***

{
  "formula": "MgNi2B2",
  "functional": "PBE",
  "state": "optimized geometry",
  "lattice": [[5.962, 0.000, 0.000], [0.000, 5.962, 0.000], [0.000, 0.000, 2.661]],
  "species": ["Mg", "Mg", "Ni", "Ni", "Ni", "Ni", "B", "B", "B", "B"],
  "fractional_positions": [[0.000, 0.000, 0.000], [0.500, 0.500, 0.000], [0.188, 0.312, 0.500], [0.312, 0.812, 0.500], [0.688, 0.188, 0.500], [0.812, 0.688, 0.500], [0.104, 0.604, 0.000], [0.396, 0.104, 0.000], [0.604, 0.896, 0.000], [0.896, 0.396, 0.000]],
  "mass_density_g_cm3": 5.73,
  "final_energy_ev_per_atom": -5.378,
  "delta_e_f_ev_per_fu": -0.4,
  "polymorph_energy_mev_per_atom": 168.1
}

***

{
  "formula": "Mg3InPd4",
  "functional": "PBE",
  "state": "optimized geometry",
  "lattice": [[6.843, -2.267, 0.000], [6.843, 2.267, 0.000], [-1.495, 0.000, 4.280]],
  "species": ["Mg", "Mg", "Mg", "In", "Pd", "Pd", "Pd", "Pd"],
  "fractional_positions": [[0.000, 0.000, 0.000], [0.249, 0.249, 0.250], [0.751, 0.751, 0.750], [0.500, 0.500, 0.500], [0.127, 0.127, 0.627], [0.373, 0.373, 0.873], [0.627, 0.627, 0.127], [0.873, 0.873, 0.373]],
  "mass_density_g_cm3": 7.67,
  "final_energy_ev_per_atom": -4.235,
  "delta_e_f_ev_per_fu": -5.6
}

***

{
  "formula": "Hf3Cd2Pd2",
  "functional": "PBE",
  "state": "optimized geometry",
  "lattice": [[1.637, -13.365, 0.000], [1.637, 13.365, 0.000], [0.000, 0.000, 3.285]],
  "species": ["Hf", "Hf", "Hf", "Cd", "Cd", "Pd", "Pd"],
  "fractional_positions": [[0.000, 0.000, 0.000], [0.422, 0.578, 0.500], [0.578, 0.422, 0.500], [0.297, 0.703, 0.500], [0.703, 0.297, 0.500], [0.134, 0.866, 0.000], [0.866, 0.134, 0.000]],
  "mass_density_g_cm3": 11.24,
  "final_energy_ev_per_atom": -6.371,
  "delta_e_f_ev_per_fu": -2.5
}

***

{
  "formula": "GdDyYHg",
  "functional": "PBE",
  "state": "optimized geometry",
  "lattice": [[0.000, 3.837, 3.837], [3.837, 0.000, 3.837], [3.837, 3.837, 0.000]],
  "species": ["Gd", "Dy", "Y", "Hg"],
  "fractional_positions": [[0.000, 0.000, 0.000], [0.250, 0.250, 0.250], [0.500, 0.500, 0.500], [0.750, 0.750, 0.750]],
  "mass_density_g_cm3": 8.96,
  "final_energy_ev_per_atom": -6.426,
  "delta_e_f_ev_per_fu": -0.3
}

***

{
  "formula": "TbPrEr2",
  "functional": "PBE",
  "state": "optimized geometry",
  "lattice": [[1.788, 1.032, 11.592], [-1.788, 1.032, 11.592], [0.000, -2.065, 11.592]],
  "species": ["Tb", "Pr", "Er", "Er"],
  "fractional_positions": [[0.000, 0.000, 0.000], [0.500, 0.500, 0.500], [0.251, 0.251, 0.251], [0.749, 0.749, 0.749]],
  "mass_density_g_cm3": 8.20,
  "final_energy_ev_per_atom": -4.613,
  "delta_e_f_ev_per_fu": 0.1,
  "polymorph_energy_mev_per_atom": 9.2
}

***

{
  "formula": "PmB2Pt5",
  "functional": "PBE",
  "state": "optimized geometry",
  "lattice": [[-2.031, 3.277, 4.554], [2.031, -3.277, 4.554], [2.031, 3.277, -4.554]],
  "species": ["Pm", "B", "B", "Pt", "Pt", "Pt", "Pt", "Pt"],
  "fractional_positions": [[0.000, 0.000, 0.000], [0.257, 0.757, 0.500], [0.743, 0.243, 0.500], [0.134, 0.346, 0.788], [0.442, 0.654, 0.788], [0.500, 0.000, 0.500], [0.558, 0.346, 0.212], [0.866, 0.654, 0.212]],
  "mass_density_g_cm3": 15.64,
  "final_energy_ev_per_atom": -6.648,
  "delta_e_f_ev_per_fu": -4.9
}

***

{
  "formula": "U4Ga16Co3",
  "functional": "PBE",
  "state": "optimized geometry",
  "lattice": [[6.048, 0.000, 0.000], [0.000, 6.048, 0.000], [0.000, 0.000, 11.007]],
  "species": ["U", "U", "U", "U", "Ga", "Ga", "Ga", "Ga", "Ga", "Ga", "Ga", "Ga", "Ga", "Ga", "Ga", "Ga", "Ga", "Ga", "Ga", "Ga", "Co", "Co", "Co"],
  "fractional_positions": [[0.000, 0.500, 0.193], [0.000, 0.500, 0.807], [0.500, 0.000, 0.193], [0.500, 0.000, 0.807], [0.000, 0.000, 0.199], [0.000, 0.000, 0.801], [0.221, 0.221, 0.000], [0.221, 0.779, 0.000], [0.249, 0.249, 0.383], [0.249, 0.249, 0.617], [0.249, 0.751, 0.383], [0.249, 0.751, 0.617], [0.500, 0.500, 0.219], [0.500, 0.500, 0.781], [0.751, 0.249, 0.383], [0.751, 0.249, 0.617], [0.751, 0.751, 0.383], [0.751, 0.751, 0.617], [0.779, 0.221, 0.000], [0.779, 0.779, 0.000], [0.000, 0.500, 0.500], [0.500, 0.000, 0.500], [0.500, 0.500, 0.000]],
  "mass_density_g_cm3": 9.26,
  "final_energy_ev_per_atom": -5.293,
  "delta_e_f_ev_per_fu": -6.8
}

***

{
  "formula": "Ac4Ce2Sb3N2",
  "functional": "PBE",
  "state": "optimized geometry",
  "lattice": [[-2.537, 2.537, 13.342], [2.537, -2.537, 13.342], [2.537, 2.537, -13.342]],
  "species": ["Ac", "Ac", "Ac", "Ac", "Ce", "Ce", "Sb", "Sb", "Sb", "N", "N"],
  "fractional_positions": [[0.085, 0.585, 0.500], [0.415, 0.915, 0.500], [0.585, 0.085, 0.500], [0.915, 0.415, 0.500], [0.195, 0.195, 0.000], [0.805, 0.805, 0.000], [0.320, 0.320, 0.000], [0.500, 0.500, 0.000], [0.680, 0.680, 0.000], [0.113, 0.113, 0.000], [0.887, 0.887, 0.000]],
  "mass_density_g_cm3": 7.64,
  "formation_energy_uncorrected_ev_per_atom": -1.00,
  "final_energy_ev_per_atom": -6.212
}

***

{
  "formula": "Rb2IN",
  "functional": "PBE",
  "state": "optimized geometry",
  "lattice": [[-4.321, 4.321, 4.605], [4.321, -4.321, 4.605], [4.321, 4.321, -4.605]],
  "species": ["Rb", "Rb", "Rb", "Rb", "I", "I", "N", "N"],
  "fractional_positions": [[0.054, 0.125, 0.429], [0.375, 0.946, 0.071], [0.696, 0.625, 0.571], [0.875, 0.304, 0.929], [0.250, 0.750, 0.500], [0.500, 0.500, 0.000], [0.000, 0.000, 0.000], [0.750, 0.250, 0.500]],
  "mass_density_g_cm3": 3.01,
  "formation_energy_uncorrected_ev_per_atom": 0.04,
  "final_energy_ev_per_atom": -2.910,
  "polymorph_energy_mev_per_atom": 0.0
}

***

{
  "formula": "K2DyZrS4",
  "functional": "PBE",
  "state": "optimized geometry",
  "lattice": [[6.794, 0.000, 0.000], [0.000, 3.889, 0.000], [-2.231, 0.000, 7.403]],
  "species": ["K", "K", "Dy", "Zr", "S", "S", "S", "S"],
  "fractional_positions": [[0.000, 0.000, 0.000], [0.500, 0.500, 0.000], [0.000, 0.500, 0.500], [0.500, 0.000, 0.500], [0.246, 0.000, 0.703], [0.277, 0.500, 0.300], [0.723, 0.500, 0.700], [0.754, 0.000, 0.297]],
  "mass_density_g_cm3": 3.91,
  "formation_energy_uncorrected_ev_per_atom": -1.67,
  "final_energy_ev_per_atom": -5.648
}

***

{
  "formula": "Sc2CrAu",
  "functional": "PBE",
  "state": "optimized geometry",
  "lattice": [[3.612, 0.000, 0.000], [0.000, 3.612, 0.000], [0.000, 0.000, 6.155]],
  "species": ["Sc", "Sc", "Cr", "Au"],
  "fractional_positions": [[0.000, 0.000, 0.000], [0.500, 0.500, 0.323], [0.500, 0.500, 0.801], [0.000, 0.000, 0.531]],
  "mass_density_g_cm3": 7.01,
  "final_energy_ev_per_atom": -6.499,
  "delta_e_f_ev_per_fu": -0.4
}

***

{
  "formula": "PmPr2Nd5",
  "functional": "PBE",
  "state": "optimized geometry",
  "lattice": [[8.797, 0.000, 0.000], [-2.991, 11.110, 0.000], [-4.079, -2.476, 11.695]],
  "species": ["Pm", "Pm", "Pm", "Pm", "Pr", "Pr", "Pr", "Pr", "Pr", "Pr", "Pr", "Pr", "Nd", "Nd", "Nd", "Nd", "Nd", "Nd", "Nd", "Nd", "Nd", "Nd", "Nd", "Nd", "Nd", "Nd", "Nd", "Nd", "Nd", "Nd", "Nd", "Nd"],
  "fractional_positions": [[0.025, 0.407, 0.182], [0.100, 0.344, 0.693], [0.900, 0.656, 0.307], [0.975, 0.593, 0.818], [0.225, 0.093, 0.568], [0.338, 0.283, 0.369], [0.413, 0.219, 0.881], [0.462, 0.032, 0.244], [0.538, 0.968, 0.756], [0.587, 0.781, 0.119], [0.662, 0.717, 0.631], [0.775, 0.907, 0.432], [0.037, 0.967, 0.255], [0.087, 0.781, 0.620], [0.150, 0.157, 0.057], [0.161, 0.717, 0.130], [0.211, 0.532, 0.494], [0.274, 0.906, 0.932], [0.286, 0.468, 0.005], [0.348, 0.842, 0.442], [0.398, 0.656, 0.807], [0.474, 0.592, 0.318], [0.526, 0.408, 0.682], [0.602, 0.344, 0.193], [0.652, 0.158, 0.558], [0.714, 0.532, 0.995], [0.726, 0.094, 0.068], [0.789, 0.468, 0.506], [0.839, 0.283, 0.870], [0.850, 0.843, 0.943], [0.913, 0.219, 0.380], [0.963, 0.033, 0.745]],
  "mass_density_g_cm3": 6.67,
  "final_energy_ev_per_atom": -4.736,
  "delta_e_f_ev_per_fu": 0.3,
  "polymorph_energy_mev_per_atom": 19.6
}

***

{
  "formula": "Be2BPdRh",
  "functional": "PBE",
  "state": "optimized geometry",
  "lattice": [[3.840, 0.000, 0.000], [0.000, 3.840, 0.000], [0.000, 0.000, 3.880]],
  "species": ["Be", "Be", "B", "Pd", "Rh"],
  "fractional_positions": [[0.000, 0.500, 0.000], [0.500, 0.000, 0.000], [0.000, 0.000, 0.000], [0.500, 0.500, 0.500], [0.000, 0.000, 0.500]],
  "mass_density_g_cm3": 6.91,
  "final_energy_ev_per_atom": -5.332,
  "delta_e_f_ev_per_fu": 0.0
}

***

{
  "formula": "AcMg2Pt4",
  "functional": "PBE",
  "state": "optimized geometry",
  "lattice": [[-3.505, 3.505, 2.766], [3.505, -3.505, 2.766], [3.505, 3.505, -2.766]],
  "species": ["Ac", "Mg", "Mg", "Pt", "Pt", "Pt", "Pt"],
  "fractional_positions": [[0.000, 0.000, 0.000], [0.250, 0.750, 0.500], [0.750, 0.250, 0.500], [0.299, 0.299, 0.597], [0.299, 0.701, 0.000], [0.701, 0.299, 0.000], [0.701, 0.701, 0.403]],
  "mass_density_g_cm3": 12.90,
  "final_energy_ev_per_atom": -5.297,
  "delta_e_f_ev_per_fu": -5.6
}

***

{
  "formula": "PrNd2S4",
  "functional": "PBE",
  "state": "optimized geometry",
  "lattice": [[-4.103, 4.114, 5.716], [4.103, -4.114, 5.716], [4.103, 4.114, -5.716]],
  "species": ["Pr", "Pr", "Nd", "Nd", "Nd", "Nd", "S", "S", "S", "S", "S", "S", "S", "S"],
  "fractional_positions": [[0.500, 0.000, 0.000], [0.500, 0.500, 0.500], [0.000, 0.000, 0.000], [0.000, 0.000, 0.500], [0.000, 0.500, 0.000], [0.500, 0.000, 0.500], [0.248, 0.250, 0.998], [0.248, 0.750, 0.498], [0.249, 0.237, 0.488], [0.249, 0.762, 0.012], [0.751, 0.238, 0.988], [0.751, 0.763, 0.512], [0.752, 0.250, 0.502], [0.752, 0.750, 0.002]],
  "mass_density_g_cm3": 4.80,
  "formation_energy_uncorrected_ev_per_atom": -2.02,
  "final_energy_ev_per_atom": -6.420,
  "polymorph_energy_mev_per_atom": 15.4
}

***

{
  "formula": "SmGa3NiOs",
  "functional": "PBE",
  "state": "optimized geometry",
  "lattice": [[3.819, -5.305, 0.000], [3.819, 5.305, 0.000], [0.000, 0.000, 5.726]],
  "species": ["Sm", "Sm", "Ga", "Ga", "Ga", "Ga", "Ga", "Ga", "Ni", "Ni", "Os", "Os"],
  "fractional_positions": [[0.215, 0.785, 0.750], [0.785, 0.215, 0.250], [0.250, 0.250, 0.000], [0.250, 0.250, 0.500], [0.304, 0.696, 0.250], [0.696, 0.304, 0.750], [0.750, 0.750, 0.000], [0.750, 0.750, 0.500], [0.480, 0.520, 0.750], [0.520, 0.480, 0.250], [0.078, 0.922, 0.250], [0.922, 0.078, 0.750]],
  "mass_density_g_cm3": 8.71,
  "final_energy_ev_per_atom": -5.367,
  "delta_e_f_ev_per_fu": -1.4
}

***

{
  "formula": "Fe2CuPd5Au2",
  "functional": "PBE",
  "state": "optimized geometry",
  "lattice": [[9.096, 0.000, 0.000], [0.000, 9.096, 0.000], [0.000, 0.000, 3.835]],
  "species": ["Fe", "Fe", "Fe", "Fe", "Cu", "Cu", "Pd", "Pd", "Pd", "Pd", "Pd", "Pd", "Pd", "Pd", "Pd", "Pd", "Au", "Au", "Au", "Au"],
  "fractional_positions": [[0.130, 0.370, 0.000], [0.370, 0.870, 0.000], [0.630, 0.130, 0.000], [0.870, 0.630, 0.000], [0.000, 0.000, 0.000], [0.500, 0.500, 0.000], [0.000, 0.500, 0.500], [0.084, 0.194, 0.500], [0.194, 0.916, 0.500], [0.306, 0.416, 0.500], [0.416, 0.694, 0.500], [0.500, 0.000, 0.500], [0.584, 0.306, 0.500], [0.694, 0.584, 0.500], [0.806, 0.084, 0.500], [0.916, 0.806, 0.500], [0.167, 0.667, 0.000], [0.333, 0.167, 0.000], [0.667, 0.833, 0.000], [0.833, 0.333, 0.000]],
  "mass_density_g_cm3": 11.53,
  "final_energy_ev_per_atom": -5.281,
  "delta_e_f_ev_per_fu": 0.7
}

***

{
  "formula": "Cd2SiP",
  "functional": "PBE",
  "state": "optimized geometry",
  "lattice": [[1.463, 0.845, 10.440], [-1.463, 0.845, 10.440], [0.000, -1.690, 10.440]],
  "species": ["Cd", "Cd", "Si", "P"],
  "fractional_positions": [[0.246, 0.246, 0.246], [0.754, 0.754, 0.754], [0.000, 0.000, 0.000], [0.500, 0.500, 0.500]],
  "mass_density_g_cm3": 6.09,
  "formation_energy_uncorrected_ev_per_atom": 0.47,
  "final_energy_ev_per_atom": -2.692,
  "polymorph_energy_mev_per_atom": 408.2
}

***

{
  "formula": "Nb2TcPd",
  "functional": "PBE",
  "state": "optimized geometry",
  "lattice": [[4.262, 0.000, 0.000], [0.000, 4.262, 0.000], [0.000, 0.000, 3.638]],
  "species": ["Nb", "Nb", "Tc", "Pd"],
  "fractional_positions": [[0.000, 0.500, 0.000], [0.500, 0.000, 0.000], [0.000, 0.000, 0.500], [0.500, 0.500, 0.500]],
  "mass_density_g_cm3": 9.81,
  "final_energy_ev_per_atom": -9.077,
  "delta_e_f_ev_per_fu": -0.6
}

***

{
  "formula": "Ba2LiHgI",
  "functional": "PBE",
  "state": "optimized geometry",
  "lattice": [[6.681, 0.000, 0.000], [0.000, 6.681, 0.000], [0.000, 0.000, 4.957]],
  "species": ["Ba", "Ba", "Li", "Hg", "I"],
  "fractional_positions": [[0.000, 0.500, 0.000], [0.500, 0.000, 0.000], [0.000, 0.000, 0.500], [0.500, 0.500, 0.500], [0.000, 0.000, 0.000]],
  "mass_density_g_cm3": 4.57,
  "formation_energy_uncorrected_ev_per_atom": -0.41,
  "final_energy_ev_per_atom": -1.929
}

***

{
  "formula": "YErSnRu",
  "functional": "PBE",
  "state": "optimized geometry",
  "lattice": [[0.000, 3.573, 3.573], [3.573, 0.000, 3.573], [3.573, 3.573, 0.000]],
  "species": ["Y", "Er", "Sn", "Ru"],
  "fractional_positions": [[0.000, 0.000, 0.000], [0.500, 0.500, 0.500], [0.750, 0.750, 0.750], [0.250, 0.250, 0.250]],
  "mass_density_g_cm3": 8.66,
  "final_energy_ev_per_atom": -6.505,
  "delta_e_f_ev_per_fu": -1.7
}

***

{
  "formula": "ZrCrCl2",
  "functional": "PBE",
  "state": "optimized geometry",
  "lattice": [[1.695, 0.979, 8.490], [-1.695, 0.979, 8.490], [0.000, -1.957, 8.490]],
  "species": ["Zr", "Cr", "Cl", "Cl"],
  "fractional_positions": [[0.000, 0.000, 0.000], [0.500, 0.500, 0.500], [0.102, 0.102, 0.102], [0.898, 0.898, 0.898]],
  "mass_density_g_cm3": 4.21,
  "formation_energy_uncorrected_ev_per_atom": -0.30,
  "final_energy_ev_per_atom": -5.767,
  "polymorph_energy_mev_per_atom": 387.6
}